Run A
Material: Na3SrNb
Method: DFT, PBE
State: optimized geometry

Calculated values
total magnetization: 4.82 μB per formula unit
crystal system: cubic
Fermi-level density of states: 3.492 states/eV/f.u.

```
data_Na3SrNb
_chemical_formula_sum 'Na3 Sr1 Nb1'
_cell_length_a 5.945
_cell_length_b 5.945
_cell_length_c 5.945
_cell_angle_alpha 90.00
_cell_angle_beta 90.00
_cell_angle_gamma 90.00
_space_group_name_H-M_alt 'P m -3 m'
_space_group_IT_number 221
_space_group_name_Hall '-P 4 2 3'
loop_
_atom_site_label
_atom_site_type_symbol
_atom_site_fract_x
_atom_site_fract_y
_atom_site_fract_z
Na1 Na 0.000 0.000 0.500
Sr1 Sr 0.500 0.500 0.500
Nb1 Nb 0.000 0.000 0.000
```

=====

Run B
Material: Na3SrNb
Method: DFT, PBE
State: optimized geometry

Calculated values
total magnetization: 4.19 μB per formula unit
crystal system: cubic
Fermi-level density of states: 5.019 states/eV/f.u.

```
data_Na3SrNb
_chemical_formula_sum 'Na3 Sr1 Nb1'
_cell_length_a 6.130
_cell_length_b 6.130
_cell_length_c 6.130
_cell_angle_alpha 90.00
_cell_angle_beta 90.00
_cell_angle_gamma 90.00
_space_group_name_H-M_alt 'P m -3 m'
_space_group_IT_number 221
_space_group_name_Hall '-P 4 2 3'
loop_
_atom_site_label
_atom_site_type_symbol
_atom_site_fract_x
_atom_site_fract_y
_atom_site_fract_z
Na1 Na 0.000 0.000 0.500
Sr1 Sr 0.000 0.000 0.000
Nb1 Nb 0.500 0.500 0.500
```

=====

Of them, run A has the highest stability.